! Cu2Br, optimized geometry, DFT GGA-PBE; values from VASP
! - Uncorrected formation energy: 0.5433 eV/atom
! - Calculated volume: 237 Å³ per cell
! - E above lowest polymorph: 545 meV per atom
! - Symmetry: No. 205
&SYSTEM
  ibrav = 0, nat = 12, ntyp = 2
/
ATOMIC_SPECIES
Cu 63.55 Cu.upf
Br 79.90 Br.upf
ATOMIC_POSITIONS crystal
Cu 0.113 0.613 0.113
Cu 0.387 0.387 0.613
Cu 0.887 0.113 0.387
Cu 0.613 0.887 0.887
Cu 0.113 0.887 0.613
Cu 0.613 0.613 0.387
Cu 0.887 0.387 0.887
Cu 0.387 0.113 0.113
Br 0.000 0.500 0.500
Br 0.500 0.500 0.000
Br 0.000 0.000 0.000
Br 0.500 0.000 0.500
CELL_PARAMETERS angstrom
-2.647 4.124 3.773
-5.361 -3.054 -0.423
1.581 -3.451 4.882